# 1
SrAuNO2 | PBE-GGA | optimized geometry

abc: 4.3620 4.3620 3.8350
angles: 90.00 90.00 90.00
Fractional positions:
O 0.0000 0.5000 0.0000
N 0.0000 0.0000 0.5000
Sr 0.5000 0.5000 0.5000
Au 0.0000 0.0000 0.0000
O 0.5000 0.0000 0.0000

Calculated values
DOS at the Fermi energy: 0.2855 states/eV per atom
Formation energy without anion corrections: -0.29 eV/atom

# 2
Ca2MgCl6 | PBE-GGA | optimized geometry

abc: 3.9770 7.3778 9.9765
angles: 106.87 90.00 105.64
Fractional positions:
Cl 0.3065 0.6130 0.8892
Cl 0.9720 0.9441 0.2399
Mg 0.0000 0.0000 0.5000
Ca 0.6678 0.3356 0.8232
Cl 0.6935 0.3870 0.1108
Cl 0.6238 0.2476 0.5350
Cl 0.3762 0.7524 0.4650
Cl 0.0280 0.0560 0.7601
Ca 0.3322 0.6645 0.1768

Calculated values
DOS at the Fermi energy: 0.0000 states/eV per atom
Formation energy without anion corrections: -2.19 eV/atom

# 3
K2SrBe | PBE-GGA | optimized geometry

abc: 4.0799 4.0827 11.7981
angles: 69.48 90.00 90.00
Fractional positions:
Be 0.5000 0.7839 0.7156
K 0.0000 0.0714 0.9222
Sr 0.0000 0.4138 0.5876
K 0.5000 0.2309 0.2746

Calculated values
DFT formation energy: 0.437 eV/atom
DOS at the Fermi energy: 1.0153 states/eV per atom

# 4
Zr6Zn5Cu | PBE-GGA | optimized geometry

abc: 4.7101 8.1718 8.1718
angles: 120.01 106.78 106.78
Fractional positions:
Zn 0.5000 0.8324 0.1676
Zr 0.2536 0.7535 0.7535
Zr 0.2482 0.4134 0.0829
Zr 0.7518 0.5866 0.9171
Zn 0.0000 0.3332 0.6668
Zn 0.5000 0.5000 0.5000
Zr 0.7464 0.2465 0.2465
Zr 0.2482 0.0829 0.4134
Cu 0.0000 0.0000 0.0000
Zr 0.7518 0.9171 0.5866
Zn 0.0000 0.6668 0.3332
Zn 0.5000 0.1676 0.8324

Calculated values
DFT formation energy: -0.243 eV/atom
DOS at the Fermi energy: 0.8820 states/eV per atom

# 5
MgCdIr2 | PBE-GGA | optimized geometry

abc: 2.8375 2.8375 8.4231
angles: 90.00 90.00 90.00
Fractional positions:
Ir 0.0000 0.0000 0.0261
Mg 0.0000 0.0000 0.4680
Cd 0.5000 0.5000 0.7679
Ir 0.5000 0.5000 0.2380

Calculated values
DFT formation energy: -0.026 eV/atom
DOS at the Fermi energy: 1.0133 states/eV per atom

# 6
Be2CrOsPd | PBE-GGA | optimized geometry

abc: 3.9654 4.5991 3.9654
angles: 90.00 90.00 90.00
Fractional positions:
Pd 0.0000 0.0000 0.0000
Cr 0.0000 0.5000 0.0000
Be 0.0000 0.0000 0.5000
Os 0.5000 0.5000 0.5000
Be 0.5000 0.0000 0.0000

Calculated values
DFT formation energy: 1.278 eV/atom
DOS at the Fermi energy: 1.4194 states/eV per atom

# 7
AsPb5 | PBE-GGA | optimized geometry

abc: 3.6638 3.6638 13.2876
angles: 90.00 90.00 90.00
Fractional positions:
Pb 0.5000 0.5000 0.3221
As 0.5000 0.5000 0.0000
Pb 0.5000 0.5000 0.6779
Pb 0.0000 0.0000 0.5000
Pb 0.0000 0.0000 0.8683
Pb 0.0000 0.0000 0.1317

Calculated values
DFT formation energy: 0.057 eV/atom
Polymorph energy (0 for the lowest one): 0.00 kcal/mol of atoms
DOS at the Fermi energy: 0.7054 states/eV per atom

# 8
LaRuRh2 | PBE-GGA | optimized geometry

abc: 2.9081 3.8639 6.3599
angles: 90.00 90.00 90.00
Fractional positions:
La 0.5000 0.5000 0.7500
Ru 0.5000 0.5000 0.2500
Rh 0.0000 0.0000 0.0465
Rh 0.0000 0.0000 0.4535

Calculated values
DFT formation energy: -0.028 eV/atom
Polymorph energy (0 for the lowest one): 1.61 kcal/mol of atoms
DOS at the Fermi energy: 1.0955 states/eV per atom

# 9
HoPb2Cl8 | PBE-GGA | optimized geometry

abc: 6.9556 7.7016 7.7016
angles: 71.57 74.00 74.00
Fractional positions:
Cl 0.2399 0.6622 0.0375
Cl 0.2599 0.1112 0.1112
Cl 0.7601 0.3378 0.9625
Ho 0.0000 0.0000 0.0000
Cl 0.1899 0.5747 0.5747
Cl 0.7601 0.9625 0.3378
Cl 0.2399 0.0375 0.6622
Pb 0.7842 0.6581 0.6581
Pb 0.2158 0.3419 0.3419
Cl 0.7401 0.8888 0.8888
Cl 0.8101 0.4253 0.4253

Calculated values
DOS at the Fermi energy: 0.7557 states/eV per atom
Formation energy without anion corrections: -1.36 eV/atom

# 10
BaLiAg2 | PBE-GGA | optimized geometry

abc: 3.7788 3.7788 7.3175
angles: 90.00 90.00 90.00
Fractional positions:
Li 0.5000 0.5000 0.8423
Ag 0.0000 0.0000 0.9932
Ba 0.0000 0.0000 0.4764
Ag 0.5000 0.5000 0.1880

Calculated values
DFT formation energy: -0.045 eV/atom
Polymorph energy (0 for the lowest one): 4.64 kcal/mol of atoms
DOS at the Fermi energy: 0.7169 states/eV per atom

# 11
K3SrMo | PBE-GGA | optimized geometry

abc: 6.8722 6.8722 6.8722
angles: 90.00 90.00 90.00
Fractional positions:
K 0.5000 0.0000 0.0000
K 0.0000 0.0000 0.5000
Mo 0.0000 0.0000 0.0000
Sr 0.5000 0.5000 0.5000
K 0.0000 0.5000 0.0000

Calculated values
DFT formation energy: 1.122 eV/atom
Polymorph energy (0 for the lowest one): 0.00 kcal/mol of atoms
DOS at the Fermi energy: 1.2039 states/eV per atom

# 12
Zr2Al4Cu | PBE-GGA | optimized geometry

abc: 4.0082 9.5684 6.7799
angles: 110.88 90.00 90.00
Fractional positions:
Zr 0.2500 0.6477 0.0745
Zr 0.2500 0.7878 0.6438
Al 0.7500 0.8795 0.9969
Zr 0.7500 0.3523 0.9255
Al 0.2500 0.1207 0.6174
Al 0.2500 0.1205 0.0031
Al 0.7500 0.5935 0.7459
Zr 0.7500 0.2122 0.3562
Cu 0.7500 0.0285 0.7646
Al 0.7500 0.8793 0.3826
Al 0.2500 0.4065 0.6524
Al 0.7500 0.5935 0.3476
Al 0.2500 0.4065 0.2541
Cu 0.2500 0.9715 0.2354

Calculated values
DFT formation energy: -0.453 eV/atom
Polymorph energy (0 for the lowest one): 0.00 kcal/mol of atoms
DOS at the Fermi energy: 0.5372 states/eV per atom

# 13
MgHgAs2Se | PBE-GGA | optimized geometry

abc: 5.0924 5.0924 4.9936
angles: 90.00 90.00 90.00
Fractional positions:
As 0.0000 0.5000 0.0000
As 0.5000 0.0000 0.0000
Se 0.0000 0.0000 0.5000
Hg 0.5000 0.5000 0.5000
Mg 0.0000 0.0000 0.0000

Calculated values
Polymorph energy (0 for the lowest one): 0.00 kcal/mol of atoms
DOS at the Fermi energy: 1.1345 states/eV per atom
Formation energy without anion corrections: 0.51 eV/atom

# 14
Li4MgTl | PBE-GGA | optimized geometry

abc: 5.4428 5.4428 5.4428
angles: 60.00 60.00 60.00
Fractional positions:
Li 0.8767 0.3744 0.3744
Li 0.3744 0.3744 0.3744
Mg 0.7500 0.7500 0.7500
Li 0.3744 0.8767 0.3744
Li 0.3744 0.3744 0.8767
Tl 0.0000 0.0000 0.0000

Calculated values
DFT formation energy: -0.069 eV/atom
Polymorph energy (0 for the lowest one): 2.11 kcal/mol of atoms
DOS at the Fermi energy: 0.5142 states/eV per atom

# 15
Pm5Ho3In | PBE-GGA | optimized geometry

abc: 7.9211 7.9211 11.4299
angles: 84.78 84.78 60.50
Fractional positions:
Ho 0.6683 0.6683 0.7839
Pm 0.7620 0.7620 0.0370
Pm 0.6593 0.0882 0.7532
In 0.0957 0.0957 0.7419
Pm 0.5094 0.5094 0.6280
Pm 0.0882 0.6593 0.7532
Pm 0.2380 0.2380 0.9630
Pm 0.9118 0.3407 0.2468
Ho 0.3317 0.3317 0.2161
Pm 0.3310 0.6690 0.0000
Ho 0.2571 0.2571 0.5242
In 0.9043 0.9043 0.2581
Pm 0.4906 0.4906 0.3720
Ho 0.7429 0.7429 0.4758
Pm 0.6690 0.3310 0.0000
Ho 0.0000 0.0000 0.0000
Pm 0.3407 0.9118 0.2468
Ho 0.0000 0.0000 0.5000

Calculated values
DFT formation energy: 0.377 eV/atom
DOS at the Fermi energy: 1.3473 states/eV per atom

# 16
CsUI6 | PBE-GGA | optimized geometry

abc: 7.7616 7.7616 7.6026
angles: 100.76 100.76 103.30
Fractional positions:
I 0.2173 0.5580 0.2207
I 0.7776 0.7776 0.4151
I 0.7827 0.4420 0.7793
Cs 0.0000 0.0000 0.0000
U 0.5000 0.5000 0.5000
I 0.4420 0.7827 0.7793
I 0.5580 0.2173 0.2207
I 0.2224 0.2224 0.5849

Calculated values
Polymorph energy (0 for the lowest one): 0.00 kcal/mol of atoms
Formation energy without anion corrections: -0.98 eV/atom

# 17
CdRu4Se | PBE-GGA | optimized geometry

abc: 5.2084 5.2084 5.2084
angles: 60.00 60.00 60.00
Fractional positions:
Ru 0.3757 0.3757 0.8730
Ru 0.3757 0.8730 0.3757
Cd 0.0000 0.0000 0.0000
Ru 0.3757 0.3757 0.3757
Se 0.7500 0.7500 0.7500
Ru 0.8730 0.3757 0.3757

Calculated values
DOS at the Fermi energy: 1.3740 states/eV per atom
Formation energy without anion corrections: 0.68 eV/atom

# 18
CoP2WC | PBE-GGA | optimized geometry

abc: 4.5984 4.8115 4.5984
angles: 90.00 90.00 90.00
Fractional positions:
P 0.0000 0.0000 0.5000
P 0.5000 0.0000 0.0000
Co 0.0000 0.5000 0.0000
C 0.5000 0.5000 0.5000
W 0.0000 0.0000 0.0000

Calculated values
DFT formation energy: 2.098 eV/atom
DOS at the Fermi energy: 0.8558 states/eV per atom

# 19
Tm4Al3Rh | PBE-GGA | optimized geometry

abc: 3.4997 3.4997 14.1140
angles: 90.00 90.00 90.00
Fractional positions:
Al 0.5000 0.5000 0.2432
Al 0.5000 0.5000 0.7568
Tm 0.0000 0.0000 0.8867
Tm 0.0000 0.0000 0.3706
Tm 0.0000 0.0000 0.1133
Rh 0.5000 0.5000 0.0000
Tm 0.0000 0.0000 0.6294
Al 0.5000 0.5000 0.5000

Calculated values
DFT formation energy: -0.545 eV/atom
DOS at the Fermi energy: 0.4719 states/eV per atom

# 20
KCuIrF6 | PBE-GGA | optimized geometry

abc: 7.1675 7.3544 7.4915
angles: 119.40 118.58 90.00
Fractional positions:
F 0.1873 0.9373 0.3747
K 0.0765 0.3265 0.1529
F 0.8127 0.0627 0.6253
F 0.8297 0.0783 0.2340
F 0.5794 0.3294 0.1589
F 0.1703 0.9217 0.7660
F 0.8297 0.6557 0.2340
Cu 0.5000 0.0000 0.5000
F 0.5957 0.9217 0.7660
F 0.4206 0.6706 0.8411
F 0.4043 0.6557 0.2340
Cu 0.0000 0.0000 0.5000
Ir 0.5000 0.0000 0.0000
F 0.4043 0.0783 0.2340
K 0.9235 0.6735 0.8471
F 0.1703 0.3443 0.7660
Ir 0.5000 0.5000 0.0000
F 0.5957 0.3443 0.7660

Calculated values
DOS at the Fermi energy: 0.4316 states/eV per atom
Formation energy without anion corrections: -1.75 eV/atom

# 21
DyY2Mg2 | PBE-GGA | optimized geometry

abc: 3.7453 5.4442 14.0581
angles: 90.00 97.65 90.00
Fractional positions:
Mg 0.6399 0.7500 0.2806
Mg 0.4465 0.7500 0.8938
Y 0.7634 0.2500 0.5262
Dy 0.1510 0.2500 0.3020
Mg 0.3601 0.2500 0.7194
Dy 0.8490 0.7500 0.6980
Y 0.0451 0.7500 0.0897
Mg 0.5535 0.2500 0.1062
Y 0.9549 0.2500 0.9103
Y 0.2366 0.7500 0.4738

Calculated values
DFT formation energy: -0.079 eV/atom
Polymorph energy (0 for the lowest one): 0.00 kcal/mol of atoms
DOS at the Fermi energy: 1.1771 states/eV per atom

# 22
KBa2MnAl | PBE-GGA | optimized geometry

abc: 6.5592 5.4381 6.5592
angles: 90.00 90.00 90.00
Fractional positions:
Mn 0.5000 0.5000 0.5000
Ba 0.5000 0.0000 0.0000
Ba 0.0000 0.0000 0.5000
K 0.0000 0.0000 0.0000
Al 0.0000 0.5000 0.0000

Calculated values
DFT formation energy: 1.696 eV/atom
DOS at the Fermi energy: 2.6793 states/eV per atom

# 23
ScCd2Pt | PBE-GGA | optimized geometry

abc: 5.4542 5.4542 2.9891
angles: 90.00 90.00 117.86
Fractional positions:
Cd 0.0000 0.0000 0.0000
Sc 0.0000 0.5000 0.5000
Cd 0.5000 0.5000 0.0000
Pt 0.5000 0.0000 0.5000

Calculated values
DFT formation energy: -0.263 eV/atom
DOS at the Fermi energy: 0.5626 states/eV per atom

# 24
BeMoAs4 | PBE-GGA | optimized geometry

abc: 5.3409 5.3409 5.3409
angles: 60.00 60.00 60.00
Fractional positions:
As 0.1227 0.6258 0.6258
Mo 0.0000 0.0000 0.0000
Be 0.2500 0.2500 0.2500
As 0.6258 0.6258 0.1227
As 0.6258 0.6258 0.6258
As 0.6258 0.1227 0.6258

Calculated values
DFT formation energy: 0.962 eV/atom
DOS at the Fermi energy: 0.6608 states/eV per atom

# 25
Ta2TcBr | PBE-GGA | optimized geometry

abc: 4.2351 4.0801 4.0801
angles: 90.00 90.00 90.00
Fractional positions:
Ta 0.0000 0.0000 0.0000
Tc 0.5000 0.5000 0.0000
Ta 0.0000 0.5000 0.5000
Br 0.5000 0.0000 0.5000

Calculated values
Polymorph energy (0 for the lowest one): 18.45 kcal/mol of atoms
DOS at the Fermi energy: 0.7711 states/eV per atom
Formation energy without anion corrections: 0.86 eV/atom

In the order shown, the computed magnetization values come out to 0.690 0.000 0.000 0.000 0.000 0.002 0.000 0.000 0.000 0.042 5.301 0.000 0.000 0.180 0.000 1.000 2.184 0.686 0.000 2.091 0.000 0.522 0.275 0.000 0.000 Bohr magnetons per cell.